Below is crystalline Cs2NaMoO4 at its relaxed geometry, with properties calculated at the PBE+U level.

```
data_Cs2NaMoO4
_cell_length_a 5.839
_cell_length_b 7.193
_cell_length_c 11.098
_cell_angle_alpha 83.87
_cell_angle_beta 74.75
_cell_angle_gamma 66.05
_symmetry_space_group_name_H-M 'P 1'
_symmetry_Int_Tables_number 1
_symmetry_space_group_name_Hall 'P 1'
loop_
_atom_site_label
_atom_site_fract_x
_atom_site_fract_y
_atom_site_fract_z
Cs1 0.821 0.000 0.358
Cs2 0.179 0.000 0.642
Cs3 0.571 0.500 0.858
Cs4 0.929 0.500 0.142
O1 0.404 0.679 0.422
O2 0.576 0.179 0.078
O3 0.245 0.179 0.922
O4 0.174 0.321 0.422
O5 0.505 0.321 0.578
O6 0.346 0.821 0.078
O7 0.833 0.821 0.922
O8 0.917 0.679 0.578
Na1 0.750 0.500 0.500
Na2 0.000 0.000 0.000
Mo1 0.250 0.500 0.500
Mo2 0.500 0.000 0.000
```

Values from the calculation:
Total moment = 1.00 μB/f.u.
DFT total energy = -84.9 eV/cell